(1)
A relaxed CsGeH2Rh crystal. Source: the Alexandria database, functional PBE.

Lattice parameters (Å, degrees): 7.421 7.421 3.563 92.49 92.49 28.15
Sites, in units of the cell vectors:
1 Cs 0.000 0.000 0.000
2 Ge 0.264 0.264 0.053
3 H 0.569 0.569 0.514
4 H 0.630 0.630 0.524
5 Rh 0.760 0.760 0.550

Results
Its calculated total energy is -3.8881 eV/atom. As for the density of states at the Fermi level: 0.2225 states/eV/atom. Its relative energy among the computed polymorphs is 244 meV/atom.

***

(2)
A relaxed CsGeH2Rh crystal. Source: the Alexandria database, functional PBE.

Lattice parameters (Å, degrees): 4.211 4.213 6.359 89.86 89.70 60.31
Sites, in units of the cell vectors:
1 Cs 0.000 0.000 0.000
2 Ge 0.669 0.666 0.543
3 H 0.336 0.333 0.722
4 H 0.668 0.666 0.801
5 Rh 0.336 0.331 0.473

Results
Its calculated total energy is -3.9380 eV/atom. As for the density of states at the Fermi level: 0.4091 states/eV/atom. Its relative energy among the computed polymorphs is 194 meV/atom.

***

(3)
A relaxed CsGeH2Rh crystal. Source: the Alexandria database, functional PBE.

Lattice parameters (Å, degrees): 3.592 3.592 7.568 103.51 103.51 90.00
Sites, in units of the cell vectors:
1 Cs 0.000 0.000 0.000
2 Ge 0.264 0.264 0.538
3 H 0.568 0.568 0.137
4 H 0.628 0.628 0.260
5 Rh 0.754 0.754 0.519

Results
Its calculated total energy is -3.8897 eV/atom. As for the density of states at the Fermi level: 0.3265 states/eV/atom. Its relative energy among the computed polymorphs is 242 meV/atom.

***

relative energy among the computed polymorphs of number 1 (CsGeH2Rh)?
244 meV/atom

***

What is the calculated total energy in the third record?
-3.8897 eV/atom